(1)
First-principles (PBE) data for a relaxed structure of Y2MgBi2, as listed in the Alexandria database.

Cell lengths 8.5563, 8.5563, 4.1100 Å; angles 90.00, 90.00, 90.00 degrees
Space group P4/mbm (No. 127)
Unique sites:
Y  0.1446  0.3554  0.0000 x4
Mg  0.0000  0.0000  0.0000 x2
Bi  0.1601  0.6601  0.5000 x4

Values from the calculation:
Crystal system: tetragonal
Calculated formation energy, eV/atom: -0.48

(2)
First-principles (PBE) data for a relaxed structure of Mg2ZnBi, as listed in the Alexandria database.

Cell lengths 4.6650, 4.6650, 18.8605 Å; angles 90.00, 90.00, 90.00 degrees
Space group I-42d (No. 122)
Unique sites:
Mg  0.2085  0.2500  0.1250 x8
Zn  0.0000  0.0000  0.0000 x4
Bi  0.0000  0.0000  0.5000 x4

Values from the calculation:
Crystal system: tetragonal
Calculated formation energy, eV/atom: 0.08